The following is a DFT calculation (GGA-PBEsol) of a relaxed SiPbSCl2 crystal.

Output
ΔE_f (raw)   0.31 eV/atom
Fermi-level density of states   0.57 states/eV per atom

```
5
Lattice="5.298 0.000 0.000 0.000 5.298 0.000 0.000 0.000 5.213" Properties=species:S:1:pos:R:3 pbc="T T T"
Cl 0.000 2.649 0.000
Cl 2.649 0.000 0.000
S 0.000 0.000 2.607
Pb 0.000 0.000 0.000
Si 2.649 2.649 2.607
```

---

The following is a DFT calculation (GGA-PBEsol) of a relaxed SiPbS2Cl crystal.

Output
ΔE_f (raw)   0.56 eV/atom
Fermi-level density of states   0.38 states/eV per atom

```
5
Lattice="-4.218 -0.988 2.731 0.011 -4.824 -1.727 2.906 -1.417 3.975" Properties=species:S:1:pos:R:3 pbc="T T T"
Si -0.650 -3.614 2.490
Pb 0.000 0.000 0.000
S 1.453 -0.708 1.988
S 0.006 -2.412 -0.864
Cl -2.109 -0.494 1.366
```

---

The following is a DFT calculation (GGA-PBEsol) of a relaxed TePbSCl2 crystal.

Output
Distance to the lowest polymorph of the same formula   0.0 meV per atom
ΔE_f (raw)   -0.02 eV/atom
Fermi-level density of states   0.70 states/eV per atom

```
5
Lattice="5.260 0.000 0.000 0.000 5.208 0.000 0.000 0.000 5.208" Properties=species:S:1:pos:R:3 pbc="T T T"
Cl 0.000 0.000 2.604
Cl 0.000 2.604 0.000
Pb 2.630 2.604 2.604
Te 0.000 0.000 0.000
S 2.630 0.000 0.000
```

---

The following is a DFT calculation (GGA-PBEsol) of a relaxed TePbSCl2 crystal.

Output
Distance to the lowest polymorph of the same formula   139.2 meV per atom
ΔE_f (raw)   0.11 eV/atom
Fermi-level density of states   0.85 states/eV per atom

```
5
Lattice="5.297 0.000 0.000 0.000 5.297 0.000 0.000 0.000 5.302" Properties=species:S:1:pos:R:3 pbc="T T T"
Pb 0.000 0.000 0.000
S 0.000 0.000 2.651
Te 2.649 2.649 2.651
Cl 0.000 2.649 0.000
Cl 2.649 0.000 0.000
```

---

The following is a DFT calculation (GGA-PBEsol) of a relaxed PbWSCl2 crystal.

Output
ΔE_f (raw)   1.15 eV/atom
Fermi-level density of states   1.31 states/eV per atom

```
5
Lattice="5.213 0.000 0.000 0.000 5.213 0.000 0.000 0.000 5.286" Properties=species:S:1:pos:R:3 pbc="T T T"
S 0.000 0.000 2.643
W 2.606 2.606 2.643
Cl 0.000 2.606 0.000
Cl 2.606 0.000 0.000
Pb 0.000 0.000 0.000
```

---

The following is a DFT calculation (GGA-PBEsol) of a relaxed SbPb3Cl crystal.

Output
ΔE_f (raw)   0.44 eV/atom
Fermi-level density of states   0.79 states/eV per atom

```
5
Lattice="5.870 0.000 0.000 0.000 5.870 0.000 0.000 0.000 5.870" Properties=species:S:1:pos:R:3 pbc="T T T"
Pb 2.935 0.000 0.000
Pb 0.000 2.935 0.000
Pb 0.000 0.000 2.935
Cl 2.935 2.935 2.935
Sb 0.000 0.000 0.000
```